VASP calculation (PBE) on Pr8C3Br4O after structural relaxation.

Lattice parameters (Å, degrees): 7.6468 7.6468 8.6993 116.17 116.17 59.71
Fractional positions:
Pr 0.2275 0.7265 0.6815
Pr 0.2277 0.2277 0.6819
Pr 0.2716 0.2716 0.3151
Pr 0.2735 0.7725 0.3185
Pr 0.7265 0.2275 0.6815
Pr 0.7284 0.7284 0.6849
Pr 0.7723 0.7723 0.3181
Pr 0.7725 0.2735 0.3185
C 0.0000 0.5000 0.5000
C 0.5000 0.0000 0.5000
C 0.5000 0.5000 0.5000
Br 0.0000 0.0000 0.0000
Br 0.0000 0.5000 0.0000
Br 0.5000 0.0000 0.0000
Br 0.5000 0.5000 0.0000
O 0.0000 0.0000 0.5000

The density is 6.6 g/cm³. The space group is C2/m (12). As for the formation energy without anion corrections: -1.153 eV per atom. The value obtained for the total energy is -6.00 eV per atom. The calculation puts the volume at 23.64 Å³/atom.

=====

VASP calculation (PBE) on ScTaTiZn2 after structural relaxation.

Lattice parameters (Å, degrees): 4.9970 4.9970 4.5940 90.00 90.00 90.00
Fractional positions:
Sc 0.0000 0.0000 0.0000
Ta 0.5000 0.5000 0.5000
Ti 0.5000 0.5000 0.0000
Zn 0.0000 0.5000 0.5000
Zn 0.5000 0.0000 0.5000

The density is 5.9 g/cm³. The space group is P4/mmm (123). The value obtained for the total energy is -4.93 eV per atom. The calculation puts the volume at 22.94 Å³/atom.

=====

VASP calculation (PBE) on La4TbTl3 after structural relaxation.

Lattice parameters (Å, degrees): 10.0242 10.0242 10.0242 32.60 32.60 32.60
Fractional positions:
La 0.1147 0.1147 0.1147
La 0.3663 0.3663 0.3663
La 0.6337 0.6337 0.6337
La 0.8853 0.8853 0.8853
Tb 0.5000 0.5000 0.5000
Tl 0.0000 0.0000 0.0000
Tl 0.2360 0.2360 0.2360
Tl 0.7640 0.7640 0.7640

The density is 8.5 g/cm³. The space group is R-3m (166). The value obtained for the total energy is -4.20 eV per atom. The calculation puts the volume at 32.50 Å³/atom.

=====

VASP calculation (PBE) on Sc7Ni2Ag2 after structural relaxation.

Lattice parameters (Å, degrees): 6.2567 6.2567 6.5343 90.00 90.00 108.57
Fractional positions:
Sc 0.0000 0.0000 0.0000
Sc 0.0000 0.5000 0.2496
Sc 0.0000 0.5000 0.7504
Sc 0.5000 0.0000 0.2496
Sc 0.5000 0.0000 0.7504
Sc 0.5000 0.5000 0.2411
Sc 0.5000 0.5000 0.7589
Ni 0.2911 0.7089 0.0000
Ni 0.7089 0.2911 0.0000
Ag 0.1841 0.1841 0.5000
Ag 0.8159 0.8159 0.5000

The density is 4.4 g/cm³. The space group is Cmmm (65). The value obtained for the total energy is -5.72 eV per atom. The calculation puts the volume at 22.04 Å³/atom.